[1]
# SCAN BaPPb2, single point on PBEsol structure
data_BaPPb2
_symmetry_space_group_name_H-M 'C 1 m 1'
_symmetry_Int_Tables_number 8
_cell_length_a 10.8472
_cell_length_b 4.0553
_cell_length_c 6.1266
_cell_angle_alpha 90.00
_cell_angle_beta 114.03
_cell_angle_gamma 90.00
loop_
_symmetry_equiv_pos_as_xyz
'x,y,z'
'x,-y,z'
'x+1/2,y+1/2,z'
'x+1/2,-y+1/2,z'
loop_
_atom_site_label
_atom_site_type_symbol
_atom_site_fract_x
_atom_site_fract_y
_atom_site_fract_z
_atom_site_occupancy
Ba1 Ba 0.0000 0.0000 0.0000 1
P1 P 0.2833 0.0000 0.6386 1
Pb1 Pb 0.0645 0.5000 0.5577 1
Pb2 Pb 0.2932 0.5000 0.3327 1
# Magnetization: 0.0 μB per formula unit
# Volume: 246 Å³/cell
# E: -203.2 eV per formula unit
# ΔE_f: -164 kJ/mol of formula units
# ρ: 7862 kg/m³



[2]
# SCAN Li3B2SbO6, single point on PBEsol structure
data_Li3B2SbO6
_symmetry_space_group_name_H-M 'P -1'
_symmetry_Int_Tables_number 2
_cell_length_a 4.8342
_cell_length_b 7.4609
_cell_length_c 8.1488
_cell_angle_alpha 65.22
_cell_angle_beta 85.33
_cell_angle_gamma 85.41
loop_
_symmetry_equiv_pos_as_xyz
'x,y,z'
'-x,-y,-z'
loop_
_atom_site_label
_atom_site_type_symbol
_atom_site_fract_x
_atom_site_fract_y
_atom_site_fract_z
_atom_site_occupancy
Li1 Li 0.1945 0.2588 0.1402 1
Li2 Li 0.2071 0.5446 0.7657 1
Li3 Li 0.3010 0.4201 0.4381 1
B1 B 0.1856 0.8128 0.4014 1
B2 B 0.3200 0.6308 0.0641 1
Sb1 Sb 0.2901 0.0306 0.8369 1
O1 O 0.1083 0.1688 0.6000 1
O2 O 0.1828 0.4835 0.1959 1
O3 O 0.2052 0.7424 0.8888 1
O4 O 0.3120 0.6461 0.5138 1
O5 O 0.3241 0.9795 0.2754 1
O6 O 0.4266 0.3090 0.9178 1
# Magnetization: 0.0 μB per formula unit
# Volume: 266 Å³/cell
# E: -123.7 eV per formula unit
# ρ: 3253 kg/m³



[3]
# SCAN KN2OF, single point on PBEsol structure
data_KN2OF
_symmetry_space_group_name_H-M 'P 4/m m m'
_symmetry_Int_Tables_number 123
_symmetry_space_group_name_Hall '-P 4 2'
_cell_length_a 3.9083
_cell_length_b 3.9083
_cell_length_c 4.9604
_cell_angle_alpha 90.00
_cell_angle_beta 90.00
_cell_angle_gamma 90.00
loop_
_atom_site_label
_atom_site_type_symbol
_atom_site_fract_x
_atom_site_fract_y
_atom_site_fract_z
_atom_site_occupancy
K1 K 0.0000 0.0000 0.0000 1
N1 N 0.0000 0.5000 0.5000 1
O1 O 0.5000 0.5000 0.0000 1
F1 F 0.5000 0.5000 0.5000 1
# Magnetization: 5.8 μB per formula unit
# Volume: 76 Å³/cell
# E: -29.4 eV per formula unit
# ρ: 2238 kg/m³



[4]
# SCAN CeMn2Ge4O12, single point on PBEsol structure
data_CeMn2Ge4O12
_symmetry_space_group_name_H-M 'P 4/n b m'
_symmetry_Int_Tables_number 125
_cell_length_a 9.8121
_cell_length_b 9.8121
_cell_length_c 4.8549
_cell_angle_alpha 90.00
_cell_angle_beta 90.00
_cell_angle_gamma 90.00
loop_
_symmetry_equiv_pos_as_xyz
'x,y,z'
'-x,-y,-z'
'-y+1/2,x,z'
'y+1/2,-x,-z'
'-x+1/2,-y+1/2,z'
'x+1/2,y+1/2,-z'
'y,-x+1/2,z'
'-y,x+1/2,-z'
'x,-y+1/2,-z'
'-x,y+1/2,z'
'-y+1/2,-x+1/2,-z'
'y+1/2,x+1/2,z'
'-x+1/2,y,-z'
'x+1/2,-y,z'
'y,x,-z'
'-y,-x,z'
loop_
_atom_site_label
_atom_site_type_symbol
_atom_site_fract_x
_atom_site_fract_y
_atom_site_fract_z
_atom_site_occupancy
Ce1 Ce 0.2500 0.2500 0.0000 1
Mn1 Mn 0.0000 0.0000 0.0000 1
Ge1 Ge 0.0252 0.7500 0.5000 1
O1 O 0.0615 0.1596 0.2436 1
O2 O 0.1323 0.6323 0.6841 1
# Magnetization: 10.0 μB per formula unit
# Volume: 467 Å³/cell
# E: -273.5 eV per formula unit
# ρ: 5205 kg/m³



[5]
# SCAN PbSe3, single point on PBEsol structure
data_PbSe3
_symmetry_space_group_name_H-M 'P n m a'
_symmetry_Int_Tables_number 62
_cell_length_a 8.5675
_cell_length_b 7.4376
_cell_length_c 6.9411
_cell_angle_alpha 90.00
_cell_angle_beta 90.00
_cell_angle_gamma 90.00
loop_
_symmetry_equiv_pos_as_xyz
'x,y,z'
'-x,-y,-z'
'-x+1/2,-y,z+1/2'
'x+1/2,y,-z+1/2'
'x+1/2,-y+1/2,-z+1/2'
'-x+1/2,y+1/2,z+1/2'
'-x,y+1/2,-z'
'x,-y+1/2,z'
loop_
_atom_site_label
_atom_site_type_symbol
_atom_site_fract_x
_atom_site_fract_y
_atom_site_fract_z
_atom_site_occupancy
Pb1 Pb 0.1234 0.2500 0.0864 1
Se1 Se 0.0261 0.2500 0.5365 1
Se2 Se 0.1257 0.5009 0.7335 1
# Magnetization: 0.0 μB per formula unit
# Volume: 442 Å³/cell
# E: -136.7 eV per formula unit
# ρ: 6669 kg/m³



[6]
# SCAN CoTcSb2, single point on PBEsol structure
data_CoTcSb2
_symmetry_space_group_name_H-M 'F m -3 m'
_symmetry_Int_Tables_number 225
_symmetry_space_group_name_Hall '-F 4 2 3'
_cell_length_a 6.4134
_cell_length_b 6.4134
_cell_length_c 6.4134
_cell_angle_alpha 90.00
_cell_angle_beta 90.00
_cell_angle_gamma 90.00
loop_
_atom_site_label
_atom_site_type_symbol
_atom_site_fract_x
_atom_site_fract_y
_atom_site_fract_z
_atom_site_occupancy
Co1 Co 0.0000 0.0000 0.0000 1
Tc1 Tc 0.0000 0.0000 0.5000 1
Sb1 Sb 0.2500 0.2500 0.2500 1
# Magnetization: 1.9 μB per formula unit
# Volume: 264 Å³/cell
# E: -125.6 eV per formula unit
# ρ: 10083 kg/m³



[7]
# SCAN LiPb3, single point on PBEsol structure
data_LiPb3
_symmetry_space_group_name_H-M 'P m m 2'
_symmetry_Int_Tables_number 25
_cell_length_a 3.5054
_cell_length_b 5.5235
_cell_length_c 5.6384
_cell_angle_alpha 90.00
_cell_angle_beta 90.00
_cell_angle_gamma 90.00
loop_
_symmetry_equiv_pos_as_xyz
'x,y,z'
'-x,-y,z'
'-x,y,z'
'x,-y,z'
loop_
_atom_site_label
_atom_site_type_symbol
_atom_site_fract_x
_atom_site_fract_y
_atom_site_fract_z
_atom_site_occupancy
Li1 Li 0.0000 0.0000 0.0000 1
Pb1 Pb 0.0000 0.5000 0.3346 1
Pb2 Pb 0.5000 0.0000 0.5062 1
Pb3 Pb 0.5000 0.5000 0.8429 1
# Magnetization: 0.0 μB per formula unit
# Volume: 109 Å³/cell
# E: -230.3 eV per formula unit
# ΔE_f: -54 kJ/mol of formula units
# ρ: 9560 kg/m³



[8]
# SCAN NbGa3Br, single point on PBEsol structure
data_NbGa3Br
_symmetry_space_group_name_H-M 'P m -3 m'
_symmetry_Int_Tables_number 221
_symmetry_space_group_name_Hall '-P 4 2 3'
_cell_length_a 5.1347
_cell_length_b 5.1347
_cell_length_c 5.1347
_cell_angle_alpha 90.00
_cell_angle_beta 90.00
_cell_angle_gamma 90.00
loop_
_atom_site_label
_atom_site_type_symbol
_atom_site_fract_x
_atom_site_fract_y
_atom_site_fract_z
_atom_site_occupancy
Nb1 Nb 0.0000 0.0000 0.0000 1
Ga1 Ga 0.0000 0.0000 0.5000 1
Br1 Br 0.5000 0.5000 0.5000 1
# Magnetization: 3.2 μB per formula unit
# Volume: 135 Å³/cell
# E: -99.2 eV per formula unit
# ρ: 4685 kg/m³



[9]
# SCAN InRhAu3, single point on PBEsol structure
data_InRhAu3
_symmetry_space_group_name_H-M 'P m -3 m'
_symmetry_Int_Tables_number 221
_symmetry_space_group_name_Hall '-P 4 2 3'
_cell_length_a 4.9367
_cell_length_b 4.9367
_cell_length_c 4.9367
_cell_angle_alpha 90.00
_cell_angle_beta 90.00
_cell_angle_gamma 90.00
loop_
_atom_site_label
_atom_site_type_symbol
_atom_site_fract_x
_atom_site_fract_y
_atom_site_fract_z
_atom_site_occupancy
In1 In 0.0000 0.0000 0.0000 1
Rh1 Rh 0.5000 0.5000 0.5000 1
Au1 Au 0.0000 0.5000 0.5000 1
# Magnetization: 1.1 μB per formula unit
# Volume: 120 Å³/cell
# E: -271.2 eV per formula unit
# ΔE_f: 328 kJ/mol of formula units
# ρ: 11161 kg/m³



[10]
# SCAN Al2Ag2W, single point on PBEsol structure
data_Al2Ag2W
_symmetry_space_group_name_H-M 'I 4/m m m'
_symmetry_Int_Tables_number 139
_symmetry_space_group_name_Hall '-I 4 2'
_cell_length_a 3.7956
_cell_length_b 3.7956
_cell_length_c 11.5110
_cell_angle_alpha 90.00
_cell_angle_beta 90.00
_cell_angle_gamma 90.00
loop_
_atom_site_label
_atom_site_type_symbol
_atom_site_fract_x
_atom_site_fract_y
_atom_site_fract_z
_atom_site_occupancy
Al1 Al 0.0000 0.5000 0.2500 1
Ag1 Ag 0.0000 0.0000 0.1079 1
W1 W 0.0000 0.0000 0.5000 1
# Magnetization: 0.9 μB per formula unit
# Volume: 166 Å³/cell
# E: -144.2 eV per formula unit
# ΔE_f: 361 kJ/mol of formula units
# ρ: 9083 kg/m³



[11]
# SCAN MgMnAs4, single point on PBEsol structure
data_MgMnAs4
_symmetry_space_group_name_H-M 'F -4 3 m'
_symmetry_Int_Tables_number 216
_symmetry_space_group_name_Hall 'F -4 2 3'
_cell_length_a 7.7791
_cell_length_b 7.7791
_cell_length_c 7.7791
_cell_angle_alpha 90.00
_cell_angle_beta 90.00
_cell_angle_gamma 90.00
loop_
_atom_site_label
_atom_site_type_symbol
_atom_site_fract_x
_atom_site_fract_y
_atom_site_fract_z
_atom_site_occupancy
Mg1 Mg 0.0000 0.0000 0.0000 1
Mn1 Mn 0.2500 0.2500 0.7500 1
As1 As 0.1246 0.1246 0.3754 1
# Magnetization: 4.3 μB per formula unit
# Volume: 471 Å³/cell
# E: -102.4 eV per formula unit
# ΔE_f: 155 kJ/mol of formula units
# ρ: 5347 kg/m³



[12]
# SCAN SrSbOs2, single point on PBEsol structure
data_SrSbOs2
_symmetry_space_group_name_H-M 'C 1 2/m 1'
_symmetry_Int_Tables_number 12
_cell_length_a 8.1809
_cell_length_b 4.4113
_cell_length_c 6.0169
_cell_angle_alpha 90.00
_cell_angle_beta 114.54
_cell_angle_gamma 90.00
loop_
_symmetry_equiv_pos_as_xyz
'x,y,z'
'-x,-y,-z'
'-x,y,-z'
'x,-y,z'
'x+1/2,y+1/2,z'
'-x+1/2,-y+1/2,-z'
'-x+1/2,y+1/2,-z'
'x+1/2,-y+1/2,z'
loop_
_atom_site_label
_atom_site_type_symbol
_atom_site_fract_x
_atom_site_fract_y
_atom_site_fract_z
_atom_site_occupancy
Sr1 Sr 0.0000 0.0000 0.0000 1
Sb1 Sb 0.0000 0.5000 0.5000 1
Os1 Os 0.1980 0.0000 0.5516 1
# Magnetization: 0.0 μB per formula unit
# Volume: 198 Å³/cell
# E: -202.0 eV per formula unit
# ρ: 9917 kg/m³



[13]
# SCAN V4O7F5, single point on PBEsol structure
data_V4O7F5
_symmetry_space_group_name_H-M 'C 1 2 1'
_symmetry_Int_Tables_number 5
_cell_length_a 8.9403
_cell_length_b 5.1945
_cell_length_c 8.8762
_cell_angle_alpha 90.00
_cell_angle_beta 107.28
_cell_angle_gamma 90.00
loop_
_symmetry_equiv_pos_as_xyz
'x,y,z'
'-x,y,-z'
'x+1/2,y+1/2,z'
'-x+1/2,y+1/2,-z'
loop_
_atom_site_label
_atom_site_type_symbol
_atom_site_fract_x
_atom_site_fract_y
_atom_site_fract_z
_atom_site_occupancy
V1 V 0.1039 0.0000 0.3659 1
V2 V 0.1519 0.5250 0.8807 1
O1 O 0.0000 0.0899 0.5000 1
O2 O 0.0175 0.7852 0.7372 1
O3 O 0.2302 0.2682 0.0138 1
O4 O 0.2469 0.4651 0.7463 1
F1 F 0.0000 0.5908 0.0000 1
F2 F 0.0252 0.2821 0.2337 1
F3 F 0.2308 0.7854 0.5170 1
# Magnetization: 0.0 μB per formula unit
# Volume: 394 Å³/cell
# E: -174.5 eV per formula unit
# ρ: 3466 kg/m³



[14]
# SCAN LaPrAl4, single point on PBEsol structure
data_LaPrAl4
_symmetry_space_group_name_H-M 'F -4 3 m'
_symmetry_Int_Tables_number 216
_symmetry_space_group_name_Hall 'F -4 2 3'
_cell_length_a 8.0348
_cell_length_b 8.0348
_cell_length_c 8.0348
_cell_angle_alpha 90.00
_cell_angle_beta 90.00
_cell_angle_gamma 90.00
loop_
_atom_site_label
_atom_site_type_symbol
_atom_site_fract_x
_atom_site_fract_y
_atom_site_fract_z
_atom_site_occupancy
La1 La 0.0000 0.0000 0.0000 1
Pr1 Pr 0.2500 0.2500 0.2500 1
Al1 Al 0.1251 0.1251 0.6251 1
# Magnetization: 0.0 μB per formula unit
# Volume: 519 Å³/cell
# E: -120.6 eV per formula unit
# ΔE_f: -306 kJ/mol of formula units
# ρ: 4965 kg/m³



[15]
# SCAN Sr2CoTe, single point on PBEsol structure
data_Sr2CoTe
_symmetry_space_group_name_H-M 'A m m 2'
_symmetry_Int_Tables_number 38
_cell_length_a 4.3045
_cell_length_b 4.5057
_cell_length_c 11.8015
_cell_angle_alpha 90.00
_cell_angle_beta 90.00
_cell_angle_gamma 90.00
loop_
_symmetry_equiv_pos_as_xyz
'x,y,z'
'-x,-y,z'
'-x,y,z'
'x,-y,z'
'x,y+1/2,z+1/2'
'-x,-y+1/2,z+1/2'
'-x,y+1/2,z+1/2'
'x,-y+1/2,z+1/2'
loop_
_atom_site_label
_atom_site_type_symbol
_atom_site_fract_x
_atom_site_fract_y
_atom_site_fract_z
_atom_site_occupancy
Sr1 Sr 0.0000 0.0000 0.0000 1
Sr2 Sr 0.5000 0.0000 0.2872 1
Co1 Co 0.5000 0.0000 0.5769 1
Te1 Te 0.0000 0.0000 0.7027 1
# Magnetization: 1.0 μB per formula unit
# Volume: 229 Å³/cell
# E: -101.3 eV per formula unit
# ρ: 5249 kg/m³



[16]
# SCAN YZrRe2, single point on PBEsol structure
data_YZrRe2
_symmetry_space_group_name_H-M 'R -3 m'
_symmetry_Int_Tables_number 166
_symmetry_space_group_name_Hall '-R 3 2"'
_cell_length_a 3.1292
_cell_length_b 3.1292
_cell_length_c 26.2370
_cell_angle_alpha 90.00
_cell_angle_beta 90.00
_cell_angle_gamma 120.00
loop_
_atom_site_label
_atom_site_type_symbol
_atom_site_fract_x
_atom_site_fract_y
_atom_site_fract_z
_atom_site_occupancy
Y1 Y 0.0000 0.0000 0.0000 1
Zr1 Zr 0.0000 0.0000 0.5000 1
Re1 Re 0.0000 0.0000 0.2457 1
# Magnetization: 0.0 μB per formula unit
# Volume: 222 Å³/cell
# E: -199.2 eV per formula unit
# ΔE_f: 152 kJ/mol of formula units
# ρ: 12372 kg/m³



[17]
# SCAN Nb6TlS8, single point on PBEsol structure
data_Nb6TlS8
_symmetry_space_group_name_H-M 'P -6'
_symmetry_Int_Tables_number 174
_cell_length_a 9.5840
_cell_length_b 9.5840
_cell_length_c 3.3566
_cell_angle_alpha 90.00
_cell_angle_beta 90.00
_cell_angle_gamma 120.00
loop_
_symmetry_equiv_pos_as_xyz
'x,y,z'
'-x+y,-x,-z'
'-y,x-y,z'
'x,y,-z'
'-x+y,-x,z'
'-y,x-y,-z'
loop_
_atom_site_label
_atom_site_type_symbol
_atom_site_fract_x
_atom_site_fract_y
_atom_site_fract_z
_atom_site_occupancy
Nb1 Nb 0.0411 0.8217 0.0000 1
Nb2 Nb 0.1517 0.4473 0.5000 1
Tl1 Tl 0.6667 0.3333 0.5000 1
S1 S 0.0000 0.0000 0.5000 1
S2 S 0.0133 0.6221 0.5000 1
S3 S 0.3242 0.0492 0.0000 1
S4 S 0.3333 0.6667 0.0000 1
# Magnetization: 0.0 μB per formula unit
# Volume: 267 Å³/cell
# E: -365.8 eV per formula unit
# ρ: 6333 kg/m³



[18]
# SCAN HfNi3, single point on PBEsol structure
data_HfNi3
_symmetry_space_group_name_H-M 'R -3 m'
_symmetry_Int_Tables_number 166
_symmetry_space_group_name_Hall '-R 3 2"'
_cell_length_a 5.1939
_cell_length_b 5.1939
_cell_length_c 19.0196
_cell_angle_alpha 90.00
_cell_angle_beta 90.00
_cell_angle_gamma 120.00
loop_
_atom_site_label
_atom_site_type_symbol
_atom_site_fract_x
_atom_site_fract_y
_atom_site_fract_z
_atom_site_occupancy
Hf1 Hf 0.0000 0.0000 0.0000 1
Hf2 Hf 0.0000 0.0000 0.2189 1
Ni1 Ni 0.0000 0.5000 0.0000 1
Ni2 Ni 0.0210 0.5105 0.2233 1
# Magnetization: 0.0 μB per formula unit
# Volume: 444 Å³/cell
# E: -113.4 eV per formula unit
# ΔE_f: -210 kJ/mol of formula units
# ρ: 11925 kg/m³



[19]
# SCAN SrMg6Nb, single point on PBEsol structure
data_SrMg6Nb
_symmetry_space_group_name_H-M 'P 4/m m m'
_symmetry_Int_Tables_number 123
_symmetry_space_group_name_Hall '-P 4 2'
_cell_length_a 6.4605
_cell_length_b 6.4605
_cell_length_c 4.5281
_cell_angle_alpha 90.00
_cell_angle_beta 90.00
_cell_angle_gamma 90.00
loop_
_atom_site_label
_atom_site_type_symbol
_atom_site_fract_x
_atom_site_fract_y
_atom_site_fract_z
_atom_site_occupancy
Sr1 Sr 0.0000 0.0000 0.0000 1
Mg1 Mg 0.0000 0.5000 0.0000 1
Mg2 Mg 0.2762 0.2762 0.5000 1
Nb1 Nb 0.5000 0.5000 0.0000 1
# Magnetization: 1.4 μB per formula unit
# Volume: 189 Å³/cell
# E: -83.9 eV per formula unit
# ΔE_f: 126 kJ/mol of formula units
# ρ: 2867 kg/m³



[20]
# SCAN Ca2HfCo, single point on PBEsol structure
data_Ca2HfCo
_symmetry_space_group_name_H-M 'F m -3 m'
_symmetry_Int_Tables_number 225
_symmetry_space_group_name_Hall '-F 4 2 3'
_cell_length_a 7.1481
_cell_length_b 7.1481
_cell_length_c 7.1481
_cell_angle_alpha 90.00
_cell_angle_beta 90.00
_cell_angle_gamma 90.00
loop_
_atom_site_label
_atom_site_type_symbol
_atom_site_fract_x
_atom_site_fract_y
_atom_site_fract_z
_atom_site_occupancy
Ca1 Ca 0.2500 0.2500 0.2500 1
Hf1 Hf 0.0000 0.0000 0.0000 1
Co1 Co 0.0000 0.0000 0.5000 1
# Magnetization: 1.7 μB per formula unit
# Volume: 365 Å³/cell
# E: -95.9 eV per formula unit
# ΔE_f: 328 kJ/mol of formula units
# ρ: 5775 kg/m³